# 1
AcCePuPb PBE relaxed; total magnetic moment = 9.40 μB per formula unit; energy = -6.9740 eV per atom; energy of formation = 0.2 eV/f.u.; space-group type = F-43m, No. 216
1.0
0.000 3.983 3.983
3.983 0.000 3.983
3.983 3.983 0.000
Ac Ce Pu Pb
1 1 1 1
Cartesian
0.000 0.000 0.000
5.974 5.974 5.974
3.983 3.983 3.983
1.991 1.991 1.991

***

# 2
AcCeScPb PBE relaxed; total magnetic moment = 1.31 μB per formula unit; energy = -5.0256 eV per atom; energy of formation = 0.0 eV/f.u.; space-group type = F-43m, No. 216
1.0
0.000 3.905 3.905
3.905 0.000 3.905
3.905 3.905 0.000
Ac Ce Sc Pb
1 1 1 1
Cartesian
0.000 0.000 0.000
5.858 5.858 5.858
1.953 1.953 1.953
3.905 3.905 3.905

***

# 3
AcCeSiPb PBE relaxed; formation energy from raw total energies = -0.26 eV per atom; total magnetic moment = 1.46 μB per formula unit; energy = -5.0512 eV per atom; space-group type = F-43m, No. 216
1.0
0.000 3.907 3.907
3.907 0.000 3.907
3.907 3.907 0.000
Ac Ce Si Pb
1 1 1 1
Cartesian
0.000 0.000 0.000
3.907 3.907 3.907
5.861 5.861 5.861
1.954 1.954 1.954

***

# 4
SrAcCePb PBE relaxed; total magnetic moment = 2.34 μB per formula unit; energy = -3.8006 eV per atom; energy of formation = 0.2 eV/f.u.; space-group type = F-43m, No. 216
1.0
0.000 4.165 4.165
4.165 0.000 4.165
4.165 4.165 0.000
Sr Ac Ce Pb
1 1 1 1
Cartesian
0.000 0.000 0.000
2.083 2.083 2.083
4.165 4.165 4.165
6.248 6.248 6.248

***

# 5
AcCeTmPb PBE relaxed; total magnetic moment = 1.51 μB per formula unit; energy = -4.5571 eV per atom; energy of formation = 0.0 eV/f.u.; space-group type = F-43m, No. 216
1.0
0.000 3.977 3.977
3.977 0.000 3.977
3.977 3.977 0.000
Ac Ce Tm Pb
1 1 1 1
Cartesian
0.000 0.000 0.000
5.965 5.965 5.965
1.988 1.988 1.988
3.977 3.977 3.977

***

# 6
AcCeYPb PBE relaxed; total magnetic moment = 1.52 μB per formula unit; energy = -5.0916 eV per atom; energy of formation = -0.2 eV/f.u.; space-group type = F-43m, No. 216
1.0
0.000 3.995 3.995
3.995 0.000 3.995
3.995 3.995 0.000
Ac Ce Y Pb
1 1 1 1
Cartesian
0.000 0.000 0.000
1.998 1.998 1.998
5.993 5.993 5.993
3.995 3.995 3.995

***

# 7
AcCe2Zn2Pb2 PBE relaxed; total magnetic moment = 2.73 μB per formula unit; energy = -3.9197 eV per atom; energy of formation = -1.5 eV/f.u.; space-group type = R-3m, No. 166
1.0
2.344 1.353 10.117
-2.344 1.353 10.117
0.000 -2.707 10.117
Ac Ce Zn Pb
1 2 2 2
Cartesian
0.000 0.000 0.000
0.000 0.000 4.425
0.000 0.000 25.926
0.000 0.000 13.108
0.000 0.000 17.243
0.000 0.000 7.993
0.000 0.000 22.358

***

# 8
AcCe2Pd PBE relaxed; total magnetic moment = 2.61 μB per formula unit; energy = -5.2848 eV per atom; energy of formation = 0.0 eV/f.u.; space-group type = R-3m, No. 166
1.0
1.883 1.087 10.750
-1.883 1.087 10.750
0.000 -2.175 10.750
Ac Ce Pd
1 2 1
Cartesian
0.000 0.000 0.000
0.000 0.000 3.472
0.000 0.000 28.778
0.000 0.000 16.125

***

# 9
AcCePd PBE relaxed; total magnetic moment = 1.11 μB per formula unit; energy = -5.4368 eV per atom; energy of formation = -1.1 eV/f.u.; space-group type = I4mm, No. 107
1.0
-1.880 1.880 6.248
1.880 -1.880 6.248
1.880 1.880 -6.248
Ac Ce Pd
1 1 1
Cartesian
0.000 0.000 0.000
0.000 0.000 3.489
0.000 0.000 8.308

***

# 10
AcCePd2 PBE relaxed; total magnetic moment = 0.63 μB per formula unit; energy = -5.7810 eV per atom; energy of formation = -2.7 eV/f.u.; space-group type = R-3m, No. 166
1.0
2.149 1.241 6.963
-2.149 1.241 6.963
0.000 -2.481 6.963
Ac Ce Pd
1 1 2
Cartesian
0.000 0.000 0.000
0.000 0.000 10.444
0.000 0.000 5.074
0.000 0.000 15.815

***

# 11
AcCePd2 PBE relaxed; total magnetic moment = 1.11 μB per formula unit; energy = -5.7314 eV per atom; energy of formation = -2.5 eV/f.u.; space-group type = Fm-3m, No. 225
1.0
0.000 3.697 3.697
3.697 0.000 3.697
3.697 3.697 0.000
Ac Ce Pd
1 1 2
Cartesian
0.000 0.000 0.000
3.697 3.697 3.697
1.849 1.849 1.849
5.546 5.546 5.546

***

# 12
AcCePd PBE relaxed; total magnetic moment = 1.03 μB per formula unit; energy = -5.3294 eV per atom; energy of formation = -0.8 eV/f.u.; space-group type = P3m1, No. 156
1.0
4.864 0.000 0.000
-2.432 4.212 0.000
0.000 0.000 4.272
Ac Ce Pd
1 1 1
Cartesian
0.000 0.000 0.000
0.000 2.808 2.416
2.432 1.404 1.654

***

# 13
Ac2CePd PBE relaxed; total magnetic moment = 1.74 μB per formula unit; energy = -5.0730 eV per atom; energy of formation = -0.9 eV/f.u.; space-group type = P4/mmm, No. 123
1.0
3.827 0.000 0.000
0.000 3.827 0.000
0.000 0.000 8.947
Ac Ce Pd
2 1 1
Cartesian
0.000 0.000 1.837
0.000 0.000 7.110
1.914 1.914 4.474
1.914 1.914 0.000

***

# 14
Ac2Ce2Pd15 PBE relaxed; total magnetic moment = 1.10 μB per formula unit; energy = -5.7545 eV per atom; energy of formation = -11.4 eV/f.u.; space-group type = R-3m, No. 166
1.0
4.683 2.704 4.766
-4.683 2.704 4.766
0.000 -5.407 4.766
Ac Ce Pd
2 2 15
Cartesian
0.000 0.000 2.026
0.000 0.000 12.271
0.000 0.000 5.666
0.000 0.000 8.630
-2.341 -1.352 4.766
0.000 -2.720 4.609
-2.355 1.360 4.609
-1.439 -2.492 7.148
-2.878 0.000 7.148
-2.355 -1.360 9.688
-2.341 1.352 9.531
1.439 -2.492 7.148
0.000 2.704 4.766
-1.439 2.492 7.148
2.355 1.360 4.609
2.878 0.000 7.148
1.439 2.492 7.148
2.355 -1.360 9.688
0.000 2.720 9.688

***

# 15
Ac2CePd9 PBE relaxed; total magnetic moment = 0.07 μB per formula unit; energy = -5.8444 eV per atom; energy of formation = -9.2 eV/f.u.; space-group type = P4/mmm, No. 123
1.0
4.260 0.000 0.000
0.000 4.260 0.000
0.000 0.000 12.775
Ac Ce Pd
2 1 9
Cartesian
0.000 0.000 2.162
0.000 0.000 10.613
0.000 0.000 6.387
0.000 2.130 0.000
0.000 2.130 4.418
0.000 2.130 8.357
2.130 0.000 0.000
2.130 0.000 4.418
2.130 0.000 8.357
2.130 2.130 2.203
2.130 2.130 6.387
2.130 2.130 10.572

***

# 16
AcCePd2 PBE relaxed; total magnetic moment = 0.96 μB per formula unit; energy = -5.7770 eV per atom; energy of formation = -2.7 eV/f.u.; space-group type = P2_1/m, No. 11
1.0
6.236 0.000 0.000
0.000 4.645 0.000
-2.326 0.000 7.314
Ac Ce Pd
2 2 4
Cartesian
0.473 1.161 2.644
3.437 3.483 4.669
-0.009 1.161 6.657
3.919 3.483 0.657
0.781 3.483 0.365
0.298 3.483 4.896
3.612 1.161 2.418
3.129 1.161 6.949

***

# 17
Ac3CePd12 PBE relaxed; total magnetic moment = 0.18 μB per formula unit; energy = -5.7963 eV per atom; energy of formation = -12.2 eV/f.u.; space-group type = P4/mmm, No. 123
1.0
4.276 0.000 0.000
0.000 4.276 0.000
0.000 0.000 17.071
Ac Ce Pd
3 1 12
Cartesian
0.000 0.000 0.000
0.000 0.000 4.325
0.000 0.000 12.746
0.000 0.000 8.535
0.000 2.138 2.182
0.000 2.138 6.570
0.000 2.138 10.501
0.000 2.138 14.888
2.138 0.000 2.182
2.138 0.000 6.570
2.138 0.000 10.501
2.138 0.000 14.888
2.138 2.138 0.000
2.138 2.138 4.376
2.138 2.138 8.535
2.138 2.138 12.695

***

# 18
AcCePd PBE relaxed; total magnetic moment = 1.14 μB per formula unit; energy = -5.4590 eV per atom; energy of formation = -1.1 eV/f.u.; space-group type = C2/m, No. 12
1.0
6.588 -1.973 0.000
6.588 1.973 0.000
-5.085 0.000 7.087
Ac Ce Pd
2 2 2
Cartesian
1.742 0.000 0.524
6.347 0.000 6.563
2.296 0.000 4.324
5.794 0.000 2.764
-1.773 0.000 4.764
9.863 0.000 2.323

***

# 19
AcCe2Pd PBE relaxed; total magnetic moment = 1.67 μB per formula unit; energy = -5.5232 eV per atom; energy of formation = -0.9 eV/f.u.; space-group type = P4/mmm, No. 123
1.0
3.742 0.000 0.000
0.000 3.742 0.000
0.000 0.000 8.358
Ac Ce Pd
1 2 1
Cartesian
0.000 0.000 0.000
1.871 1.871 2.626
1.871 1.871 5.733
0.000 0.000 4.179

***

# 20
AcCePd2 PBE relaxed; total magnetic moment = 0.71 μB per formula unit; energy = -5.7071 eV per atom; energy of formation = -2.4 eV/f.u.; space-group type = R3m, No. 160
1.0
2.097 1.211 7.368
-2.097 1.211 7.368
0.000 -2.421 7.368
Ac Ce Pd
1 1 2
Cartesian
0.000 0.000 0.000
0.000 0.000 3.802
0.000 0.000 12.803
0.000 0.000 16.801